{"formula": "Ba2Sr6Li", "functional": "PBE", "state": "optimized geometry", "lattice_angstrom": [[-2.114, 6.243, 9.343], [2.114, -6.243, 9.343], [2.114, 6.243, -9.343]], "species": ["Ba", "Ba", "Sr", "Sr", "Sr", "Sr", "Sr", "Sr", "Li"], "frac_coords": [[0.144, 0.144, 0.000], [0.856, 0.856, 0.000], [0.165, 0.825, 0.340], [0.220, 0.500, 0.720], [0.485, 0.825, 0.660], [0.515, 0.175, 0.340], [0.780, 0.500, 0.280], [0.835, 0.175, 0.660], [0.500, 0.000, 0.500]], "sg": "Immm", "e_tot_ev_per_atom": -1.69, "dos_at_fermi_per_ev_atom": 1.09}

{"formula": "CeNdAgPb", "functional": "PBE", "state": "optimized geometry", "lattice_angstrom": [[0.000, 3.857, 3.857], [3.857, 0.000, 3.857], [3.857, 3.857, 0.000]], "species": ["Ce", "Nd", "Ag", "Pb"], "frac_coords": [[0.000, 0.000, 0.000], [0.500, 0.500, 0.500], [0.750, 0.750, 0.750], [0.250, 0.250, 0.250]], "sg": "F-43m", "e_tot_ev_per_atom": -4.64, "dos_at_fermi_per_ev_atom": 2.36}